Compound: TaCu2Hg
Source: Alexandria
Functional: PBE-GGA
Structure: optimized geometry

abc: 2.790 4.222 5.574
angles: 90.00 104.48 90.00
Space group Pm (No. 6)
Symmetry-distinct sites (fractional):
Ta 0.000 0.000 0.000
Cu 0.600 0.500 0.203
Cu 0.729 0.000 0.454
Hg 0.341 0.500 0.681

Output
The calculated volume comes out at 15.9 Å³ per atom. Its raw total energy is -4.80 eV/atom.